Entry 1:
{
  "formula": "Li12In2Ag",
  "functional": "PBE",
  "state": "optimized geometry",
  "crystal_system": "tetragonal",
  "n_ef_per_ev_cell": 11.949,
  "formation_enthalpy_0k_ev_per_fu": 0.32,
  "lattice": [[5.8322, 0.0000, 0.0000], [0.0000, 5.8322, 0.0000], [0.0000, 0.0000, 17.3653]],
  "species": ["Li", "Li", "Li", "Li", "Li", "Li", "Li", "Li", "Li", "Li", "Li", "Li", "Li", "Li", "Li", "Li", "Li", "Li", "Li", "Li", "Li", "Li", "Li", "Li", "In", "In", "In", "In", "Ag", "Ag"],
  "frac_coords": [[0.0017, 0.5017, 0.0950], [0.0017, 0.9983, 0.9050], [0.0823, 0.5823, 0.5688], [0.0823, 0.9177, 0.4312], [0.2500, 0.2500, 0.2024], [0.2500, 0.2500, 0.3377], [0.2500, 0.2500, 0.6623], [0.2500, 0.2500, 0.7976], [0.4177, 0.5823, 0.4312], [0.4177, 0.9177, 0.5688], [0.4983, 0.5017, 0.9050], [0.4983, 0.9983, 0.0950], [0.5017, 0.0017, 0.9050], [0.5017, 0.4983, 0.0950], [0.5823, 0.0823, 0.4312], [0.5823, 0.4177, 0.5688], [0.7500, 0.7500, 0.2024], [0.7500, 0.7500, 0.3377], [0.7500, 0.7500, 0.6623], [0.7500, 0.7500, 0.7976], [0.9177, 0.0823, 0.5688], [0.9177, 0.4177, 0.4312], [0.9983, 0.0017, 0.0950], [0.9983, 0.4983, 0.9050], [0.2500, 0.7500, 0.2635], [0.2500, 0.7500, 0.7365], [0.7500, 0.2500, 0.2635], [0.7500, 0.2500, 0.7365], [0.2500, 0.7500, 0.0000], [0.7500, 0.2500, 0.0000]]
}

---

Entry 2:
{
  "formula": "Ce2PaSe8",
  "functional": "PBE",
  "state": "optimized geometry",
  "crystal_system": "monoclinic",
  "n_ef_per_ev_cell": 9.969,
  "formation_energy_uncorrected_ev_per_atom": -1.329,
  "lattice": [[8.6027, -2.1088, 0.0000], [8.6027, 2.1088, 0.0000], [-2.7093, 0.0000, 9.7263]],
  "species": ["Ce", "Ce", "Pa", "Se", "Se", "Se", "Se", "Se", "Se", "Se", "Se"],
  "frac_coords": [[0.1622, 0.1622, 0.3044], [0.8378, 0.8378, 0.6956], [0.5000, 0.5000, 0.5000], [0.0161, 0.0161, 0.6875], [0.2647, 0.2647, 0.8251], [0.3368, 0.3368, 0.4796], [0.4080, 0.4080, 0.8951], [0.5920, 0.5920, 0.1049], [0.6632, 0.6632, 0.5204], [0.7353, 0.7353, 0.1749], [0.9839, 0.9839, 0.3125]]
}

---

Entry 3:
{
  "formula": "ErVRh2",
  "functional": "PBE",
  "state": "optimized geometry",
  "crystal_system": "tetragonal",
  "n_ef_per_ev_cell": 3.954,
  "formation_enthalpy_0k_ev_per_fu": -2.02,
  "e_above_lowest_polymorph_kcal_per_mol_atoms": 0.00,
  "lattice": [[3.0550, 0.0000, 0.0000], [0.0000, 3.0550, 0.0000], [0.0000, 0.0000, 7.1204]],
  "species": ["Er", "V", "Rh", "Rh"],
  "frac_coords": [[0.0000, 0.0000, 0.0000], [0.0000, 0.0000, 0.5000], [0.5000, 0.5000, 0.2942], [0.5000, 0.5000, 0.7058]]
}

---

no.,raw total energy (eV/atom)
1,-2.07
2,-5.80
3,-7.60